[1]
# Pr8Tl2Co

A geometry-optimized Pr8Tl2Co structure (GGA-PBE, Alexandria via LeMat-Bulk).

Symmetry: C2/m, No. 12
Total energy (eV per atom): -4.68
ΔE_f (eV/atom): -0.125
DOS at the Fermi energy (states/eV/f.u.): 11.68
Energy above the lowest structure with this stoichiometry (meV per atom): 12
Crystal system: monoclinic

Cell lengths 5.7402, 7.0721, 9.4264 Å; angles 110.73, 107.73, 90.00 degrees
Atoms (fractional coordinates):
Tl1 0.8190 0.3072 0.6380
Tl2 0.1810 0.6928 0.3620
Pr1 0.7967 0.7566 0.5933
Pr2 0.4005 0.6037 0.8009
Pr3 0.0031 0.7665 0.0061
Pr4 0.9969 0.2335 0.9939
Pr5 0.2033 0.2434 0.4067
Pr6 0.6362 0.9072 0.2724
Pr7 0.3638 0.0928 0.7276
Pr8 0.5995 0.3963 0.1991
Co1 0.5000 0.0000 0.0000



[2]
# Pr8Tl2Co

A geometry-optimized Pr8Tl2Co structure (GGA-PBE, Alexandria via LeMat-Bulk).

Symmetry: Cm, No. 8
Total energy (eV per atom): -4.69
ΔE_f (eV/atom): -0.137
DOS at the Fermi energy (states/eV/f.u.): 11.63
Energy above the lowest structure with this stoichiometry (meV per atom): 0
Crystal system: monoclinic

Cell lengths 5.8490, 9.5278, 9.5278 Å; angles 121.23, 108.66, 108.66 degrees
Atoms (fractional coordinates):
Pr1 0.0058 0.2272 0.8209
Pr2 0.0058 0.8209 0.2272
Pr3 0.7444 0.1863 0.4102
Pr4 0.7444 0.4102 0.1863
Pr5 0.2835 0.6818 0.9087
Pr6 0.2835 0.9087 0.6818
Pr7 0.9783 0.1100 0.1100
Pr8 0.6236 0.6228 0.6228
Tl1 0.4972 0.3241 0.7198
Tl2 0.4972 0.7198 0.3241
Co1 0.3358 0.0220 0.0220



[3]
# Pr7TlCo2

A geometry-optimized Pr7TlCo2 structure (GGA-PBE, Alexandria via LeMat-Bulk).

Symmetry: Cmmm, No. 65
Total energy (eV per atom): -4.97
ΔE_f (eV/atom): 0.029
DOS at the Fermi energy (states/eV/f.u.): 7.41
Crystal system: orthorhombic

Cell lengths 5.1200, 8.3221, 8.3221 Å; angles 111.59, 90.00, 90.00 degrees
Atoms (fractional coordinates):
Pr1 0.5000 0.5000 0.5000
Pr2 0.5000 0.6886 0.9509
Pr3 0.5000 0.0491 0.3114
Pr4 0.0000 0.3007 0.6993
Pr5 0.0000 0.6993 0.3007
Pr6 0.5000 0.9509 0.6886
Pr7 0.5000 0.3114 0.0491
Co1 0.5000 0.7020 0.2980
Co2 0.5000 0.2980 0.7020
Tl1 0.0000 0.0000 0.0000



Q: Among the records above, which one has the lowest ΔE_f?
A: number 2



Q: Which value of total energy does entry 2 give?
A: -4.69 eV per atom